A relaxed structure of CuTe2As, computed with PBE.

Calculated values
* formation energy from raw total energies: 16 kJ per mole of atoms
* ρ: 5.17 g/cm3
* V: 31.637 Å³/atom

abc: 4.2811 4.2811 23.9192
angles: 90.00 90.00 120.00
With the nearest neighbours (Å) after each atom.
Space group R-3m (No. 166, hexagonal axes)
Unique sites:
Cu (0.0000, 0.0000, 0.0000)  2 Te 2.44
Te (0.0000, 0.0000, 0.1020)  1 Cu 2.44
As (0.0000, 0.0000, 0.5000)  6 Te 2.92



A relaxed structure of Ce8Ga2Ru, computed with PBE.

Calculated values
* calculated formation energy: -0.262 eV per atom
* ρ: 8.50 g/cm3
* V: 24.186 Å³/atom

abc: 16.9089 5.0566 6.6546
angles: 90.00 110.75 90.00
With the nearest neighbours (Å) after each atom.
Space group C2/m (No. 12)
Unique sites:
Ce (0.0046, 0.0000, 0.3006)  3 Ce 2.71-2.99
Ce (0.1058, 0.5000, 0.4035)  1 Ru 2.65
Ce (0.1486, 0.5000, 0.8929)  4 Ce 2.81-3.08, 1 Ru 2.84
Ce (0.1960, 0.0000, 0.1721)  3 Ce 2.81-3.07, 2 Ga 3.12
Ga (0.1911, 0.0000, 0.6676)  11 Ce 3.12-3.39
Ru (0.0000, 0.5000, 0.0000)  4 Ce 2.65-2.84



A relaxed structure of PaPdRu2, computed with PBE.

Calculated values
* calculated formation energy: -0.505 eV per atom
* ρ: 13.29 g/cm3
* distance to the lowest polymorph of the same formula: 10 meV/atom
* V: 16.856 Å³/atom

abc: 5.6877 8.3311 5.6917
angles: 90.00 90.00 90.00
With the nearest neighbours (Å) after each atom.
Space group Imma (No. 74)
Unique sites:
Pa (0.0000, 0.0000, 0.0000)  8 Ru 2.84-2.90, 4 Pd 2.90
Pd (0.2500, 0.2500, 0.2500)  2 Pd 2.84, 6 Ru 2.85-2.90, 4 Pa 2.90
Ru (0.0000, 0.0000, 0.5000)  4 Pa 2.84-2.85, 4 Ru 2.90, 4 Pd 2.90
Ru (0.2500, 0.2500, 0.7500)  6 Ru 2.84-2.90, 2 Pd 2.85, 4 Pa 2.90



A relaxed structure of KFe2SbPt, computed with PBE.

Calculated values
* formation energy from raw total energies: 193 kJ per mole of atoms
* ρ: 7.20 g/cm3
* V: 21.559 Å³/atom

abc: 4.5410 4.5410 5.2273
angles: 90.00 90.00 90.00
With the nearest neighbours (Å) after each atom.
Space group P4/mmm (No. 123)
Unique sites:
K (0.0000, 0.0000, 0.0000)  4 Fe 2.27
Fe (0.0000, 0.5000, 0.0000)  2 K 2.27
Sb (0.5000, 0.5000, 0.5000)  4 Pt 3.21, 8 Fe 3.46
Pt (0.0000, 0.0000, 0.5000)  2 K 2.61



Q: Which value of ρ does entry 1 give?
A: 5.17 g/cm3